[1]
The following is a SCAN calculation of a PBEsol-optimized structure of SiTe2Au, from the Alexandria database.

Total magnetization (μB/cell): 0.00
Formation energy (no corrections) (eV/atom): 0.17
Raw total energy (eV per atom): -38.250

```
data_SiTe2Au
_symmetry_space_group_name_H-M 'I -4 2 d'
_symmetry_Int_Tables_number 122
_symmetry_space_group_name_Hall 'I -4 2bw'
_cell_length_a 6.001
_cell_length_b 6.001
_cell_length_c 13.197
_cell_angle_alpha 90.00
_cell_angle_beta 90.00
_cell_angle_gamma 90.00
loop_
_atom_site_label
_atom_site_type_symbol
_atom_site_fract_x
_atom_site_fract_y
_atom_site_fract_z
Si1 Si 0.000 0.000 0.000
Te1 Te 0.239 0.250 0.125
Au1 Au 0.000 0.000 0.500
```

---

[2]
The following is a SCAN calculation of a PBEsol-optimized structure of Cd2CoSb, from the Alexandria database.

Total magnetization (μB/cell): 1.80
Formation energy (no corrections) (eV/atom): 0.28
Raw total energy (eV per atom): -28.566

```
data_Cd2CoSb
_symmetry_space_group_name_H-M 'P 4/m m m'
_symmetry_Int_Tables_number 123
_symmetry_space_group_name_Hall '-P 4 2'
_cell_length_a 3.751
_cell_length_b 3.751
_cell_length_c 5.404
_cell_angle_alpha 90.00
_cell_angle_beta 90.00
_cell_angle_gamma 90.00
loop_
_atom_site_label
_atom_site_type_symbol
_atom_site_fract_x
_atom_site_fract_y
_atom_site_fract_z
Cd1 Cd 0.000 0.000 0.238
Co1 Co 0.500 0.500 0.000
Sb1 Sb 0.500 0.500 0.500
```

---

[3]
The following is a SCAN calculation of a PBEsol-optimized structure of BaSr2Cd2, from the Alexandria database.

Total magnetization (μB/cell): 0.00
Formation energy from the elements (meV per atom): -286.2
Raw total energy (eV per atom): -29.272

```
data_BaSr2Cd2
_symmetry_space_group_name_H-M 'P 4/m b m'
_symmetry_Int_Tables_number 127
_symmetry_space_group_name_Hall '-P 4 2ab'
_cell_length_a 9.521
_cell_length_b 9.521
_cell_length_c 3.824
_cell_angle_alpha 90.00
_cell_angle_beta 90.00
_cell_angle_gamma 90.00
loop_
_atom_site_label
_atom_site_type_symbol
_atom_site_fract_x
_atom_site_fract_y
_atom_site_fract_z
Ba1 Ba 0.000 0.000 0.000
Sr1 Sr 0.134 0.366 0.000
Cd1 Cd 0.162 0.662 0.500
```

---

[4]
The following is a SCAN calculation of a PBEsol-optimized structure of LaSc2W, from the Alexandria database.

Total magnetization (μB/cell): 0.00
Formation energy from the elements (meV per atom): 497.2
Raw total energy (eV per atom): -34.820

```
data_LaSc2W
_symmetry_space_group_name_H-M 'F -4 3 m'
_symmetry_Int_Tables_number 216
_symmetry_space_group_name_Hall 'F -4 2 3'
_cell_length_a 7.023
_cell_length_b 7.023
_cell_length_c 7.023
_cell_angle_alpha 90.00
_cell_angle_beta 90.00
_cell_angle_gamma 90.00
loop_
_atom_site_label
_atom_site_type_symbol
_atom_site_fract_x
_atom_site_fract_y
_atom_site_fract_z
La1 La 0.000 0.000 0.000
Sc1 Sc 0.000 0.000 0.500
Sc2 Sc 0.250 0.250 0.750
W1 W 0.250 0.250 0.250
```

---

[5]
The following is a SCAN calculation of a PBEsol-optimized structure of MnAgCl2, from the Alexandria database.

Total magnetization (μB/cell): 17.29
Formation energy (no corrections) (eV/atom): -0.12
Energy above the lowest structure with this stoichiometry (meV/atom): 585
Raw total energy (eV per atom): -16.512

```
data_MnAgCl2
_symmetry_space_group_name_H-M 'F -4 3 m'
_symmetry_Int_Tables_number 216
_symmetry_space_group_name_Hall 'F -4 2 3'
_cell_length_a 6.626
_cell_length_b 6.626
_cell_length_c 6.626
_cell_angle_alpha 90.00
_cell_angle_beta 90.00
_cell_angle_gamma 90.00
loop_
_atom_site_label
_atom_site_type_symbol
_atom_site_fract_x
_atom_site_fract_y
_atom_site_fract_z
Mn1 Mn 0.000 0.000 0.000
Ag1 Ag 0.250 0.250 0.750
Cl1 Cl 0.000 0.000 0.500
Cl2 Cl 0.250 0.250 0.250
```

---

[6]
The following is a SCAN calculation of a PBEsol-optimized structure of LiMgCo2, from the Alexandria database.

Total magnetization (μB/cell): 6.23
Formation energy from the elements (meV per atom): 187.3
Raw total energy (eV per atom): -10.306

```
data_LiMgCo2
_symmetry_space_group_name_H-M 'I m m m'
_symmetry_Int_Tables_number 71
_symmetry_space_group_name_Hall '-I 2 2'
_cell_length_a 2.968
_cell_length_b 3.925
_cell_length_c 8.378
_cell_angle_alpha 90.00
_cell_angle_beta 90.00
_cell_angle_gamma 90.00
loop_
_atom_site_label
_atom_site_type_symbol
_atom_site_fract_x
_atom_site_fract_y
_atom_site_fract_z
Li1 Li 0.000 0.000 0.000
Mg1 Mg 0.000 0.000 0.500
Co1 Co 0.000 0.500 0.254
```

---

[7]
The following is a SCAN calculation of a PBEsol-optimized structure of LiMg2Pd, from the Alexandria database.

Total magnetization (μB/cell): 0.00
Formation energy from the elements (meV per atom): -542.9
Raw total energy (eV per atom): -11.821

```
data_LiMg2Pd
_symmetry_space_group_name_H-M 'F m -3 m'
_symmetry_Int_Tables_number 225
_symmetry_space_group_name_Hall '-F 4 2 3'
_cell_length_a 6.409
_cell_length_b 6.409
_cell_length_c 6.409
_cell_angle_alpha 90.00
_cell_angle_beta 90.00
_cell_angle_gamma 90.00
loop_
_atom_site_label
_atom_site_type_symbol
_atom_site_fract_x
_atom_site_fract_y
_atom_site_fract_z
Li1 Li 0.000 0.000 0.000
Mg1 Mg 0.250 0.250 0.250
Pd1 Pd 0.000 0.000 0.500
```

---

[8]
The following is a SCAN calculation of a PBEsol-optimized structure of SrFe2Ag, from the Alexandria database.

Total magnetization (μB/cell): 11.17
Formation energy from the elements (meV per atom): 424.4
Raw total energy (eV per atom): -22.051

```
data_SrFe2Ag
_symmetry_space_group_name_H-M 'C 1 2/m 1'
_symmetry_Int_Tables_number 12
_symmetry_space_group_name_Hall '-C 2y'
_cell_length_a 8.294
_cell_length_b 3.927
_cell_length_c 5.551
_cell_angle_alpha 90.00
_cell_angle_beta 111.00
_cell_angle_gamma 90.00
loop_
_atom_site_label
_atom_site_type_symbol
_atom_site_fract_x
_atom_site_fract_y
_atom_site_fract_z
Sr1 Sr 0.000 0.000 0.000
Fe1 Fe 0.214 0.000 0.585
Ag1 Ag 0.000 0.500 0.500
```

---

[9]
The following is a SCAN calculation of a PBEsol-optimized structure of Tl3BF, from the Alexandria database.

Total magnetization (μB/cell): 0.00
Formation energy (no corrections) (eV/atom): 0.38
Raw total energy (eV per atom): -45.232

```
data_Tl3BF
_symmetry_space_group_name_H-M 'P m -3 m'
_symmetry_Int_Tables_number 221
_symmetry_space_group_name_Hall '-P 4 2 3'
_cell_length_a 5.007
_cell_length_b 5.007
_cell_length_c 5.007
_cell_angle_alpha 90.00
_cell_angle_beta 90.00
_cell_angle_gamma 90.00
loop_
_atom_site_label
_atom_site_type_symbol
_atom_site_fract_x
_atom_site_fract_y
_atom_site_fract_z
Tl1 Tl 0.000 0.000 0.500
B1 B 0.500 0.500 0.500
F1 F 0.000 0.000 0.000
```

---

[10]
The following is a SCAN calculation of a PBEsol-optimized structure of Li4Ti3V2Sn3O16, from the Alexandria database.

Total magnetization (μB/cell): 11.96
Formation energy (no corrections) (eV/atom): -2.43
Raw total energy (eV per atom): -13.144

```
data_Li4Ti3V2Sn3O16
_symmetry_space_group_name_H-M 'C 1 m 1'
_symmetry_Int_Tables_number 8
_symmetry_space_group_name_Hall 'C -2y'
_cell_length_a 10.585
_cell_length_b 6.040
_cell_length_c 9.554
_cell_angle_alpha 90.00
_cell_angle_beta 90.82
_cell_angle_gamma 90.00
loop_
_atom_site_label
_atom_site_type_symbol
_atom_site_fract_x
_atom_site_fract_y
_atom_site_fract_z
Li1 Li 0.000 0.000 0.000
Li2 Li 0.005 0.000 0.493
Li3 Li 0.155 0.500 0.894
Li4 Li 0.320 0.000 0.386
Ti1 Ti 0.076 0.254 0.215
Ti2 Ti 0.160 0.000 0.718
V1 V 0.152 0.500 0.481
V2 V 0.321 0.000 0.989
Sn1 Sn 0.321 0.500 0.208
Sn2 Sn 0.406 0.246 0.710
O1 O 0.013 0.500 0.337
O2 O 0.079 0.243 0.602
O3 O 0.149 0.500 0.099
O4 O 0.156 0.000 0.107
O5 O 0.227 0.278 0.340
O6 O 0.249 0.219 0.841
O7 O 0.315 0.000 0.594
O8 O 0.331 0.500 0.588
O9 O 0.415 0.248 0.099
O10 O 0.470 0.000 0.846
O11 O 0.495 0.500 0.310
O12 O 0.497 0.500 0.816
```

---

Number 1: density of states at the Fermi level 8.34 states/eV/cell. Number 2: density of states at the Fermi level 1.34 states/eV/cell. Number 3: density of states at the Fermi level 6.46 states/eV/cell. Number 4: density of states at the Fermi level 22.70 states/eV/cell. Number 5: density of states at the Fermi level 11.08 states/eV/cell. Number 6: density of states at the Fermi level 4.79 states/eV/cell. Number 7: density of states at the Fermi level 5.96 states/eV/cell. Number 8: density of states at the Fermi level 5.31 states/eV/cell. Number 9: density of states at the Fermi level 3.43 states/eV/cell. Number 10: density of states at the Fermi level 12.87 states/eV/cell.